[1]
The following is a PBE calculation of a relaxed structure of NpAlV2, from the Alexandria database.

The calculation puts the calculated volume at 15.733 Å³/atom.

The structure belongs to space group P4/mmm (No. 123); the cell edges are 3.2107, 3.2107 and 6.1051 Å and the angles 90.00°, 90.00° and 90.00°. The distinct sites, in fractional coordinates, are Np at (0.0000, 0.0000, 0.0000), Al at (0.0000, 0.0000, 0.5000) and V at (0.5000, 0.5000, 0.2276).

[2]
The following is a PBE calculation of a relaxed structure of NpAlV2, from the Alexandria database.

The calculation puts the calculated volume at 16.157 Å³/atom.

The structure belongs to space group R-3m (No. 166, hexagonal axes); the cell edges are 3.0418, 3.0418 and 24.1956 Å and the angles 90.00°, 90.00° and 120.00°. The distinct sites, in fractional coordinates, are Np at (0.0000, 0.0000, 0.0000), Al at (0.0000, 0.0000, 0.5000) and V at (0.0000, 0.0000, 0.2536).

[3]
The following is a PBE calculation of a relaxed structure of NpAlV2, from the Alexandria database.

The calculation puts the calculated volume at 15.635 Å³/atom.

The structure belongs to space group Fm-3m (No. 225); the cell edges are 6.3010, 6.3010 and 6.3010 Å and the angles 90.00°, 90.00° and 90.00°. The distinct sites, in fractional coordinates, are Np at (0.0000, 0.0000, 0.0000), Al at (0.0000, 0.0000, 0.5000) and V at (0.2500, 0.2500, 0.2500).

[4]
The following is a PBE calculation of a relaxed structure of NpAlV4, from the Alexandria database.

The calculation puts the calculated volume at 15.978 Å³/atom.

The structure belongs to space group F-43m (No. 216); the cell edges are 7.2651, 7.2651 and 7.2651 Å and the angles 90.00°, 90.00° and 90.00°. The distinct sites, in fractional coordinates, are Np at (0.0000, 0.0000, 0.0000), Al at (0.2500, 0.2500, 0.7500) and V at (0.1270, 0.1270, 0.3730).

[5]
The following is a PBE calculation of a relaxed structure of NpAl4V, from the Alexandria database.

The calculation puts the calculated volume at 17.592 Å³/atom.

The structure belongs to space group F-43m (No. 216); the cell edges are 7.5019, 7.5019 and 7.5019 Å and the angles 90.00°, 90.00° and 90.00°. The distinct sites, in fractional coordinates, are Np at (0.0000, 0.0000, 0.0000), Al at (0.1249, 0.1249, 0.6249) and V at (0.2500, 0.2500, 0.2500).

[6]
The following is a PBE calculation of a relaxed structure of NpAlV, from the Alexandria database.

The calculation puts the calculated volume at 16.178 Å³/atom.

The structure belongs to space group Cmcm (No. 63); the cell edges are 2.6562, 16.2236 and 4.5051 Å and the angles 90.00°, 90.00° and 90.00°. The distinct sites, in fractional coordinates, are Np at (0.0000, 0.2244, 0.2500), Al at (0.0000, 0.0997, 0.7500) and V at (0.0000, 0.4536, 0.7500).

[7]
The following is a PBE calculation of a relaxed structure of NpAl2V, from the Alexandria database.

The calculation puts the calculated volume at 17.450 Å³/atom.

The structure belongs to space group R-3m (No. 166, hexagonal axes); the cell edges are 2.7616, 2.7616 and 31.7045 Å and the angles 90.00°, 90.00° and 120.00°. The distinct sites, in fractional coordinates, are Np at (0.0000, 0.0000, 0.0000), Al at (0.0000, 0.0000, 0.4180) and V at (0.0000, 0.0000, 0.5000).

[8]
The following is a PBE calculation of a relaxed structure of NpAlV2, from the Alexandria database.

The calculation puts the calculated volume at 15.557 Å³/atom.

The structure belongs to space group P4/mmm (No. 123); the cell edges are 4.3948, 4.3948 and 3.2218 Å and the angles 90.00°, 90.00° and 90.00°. The distinct sites, in fractional coordinates, are Np at (0.0000, 0.0000, 0.0000), Al at (0.5000, 0.5000, 0.0000) and V at (0.0000, 0.5000, 0.5000).

[9]
The following is a PBE calculation of a relaxed structure of NpAlV, from the Alexandria database.

The calculation puts the calculated volume at 15.906 Å³/atom.

The structure belongs to space group I4mm (No. 107); the cell edges are 2.6084, 2.6084 and 14.0263 Å and the angles 90.00°, 90.00° and 90.00°. The distinct sites, in fractional coordinates, are Np at (0.0000, 0.0000, 0.0000), Al at (0.0000, 0.0000, 0.6768) and V at (0.0000, 0.0000, 0.3218).

[10]
The following is a PBE calculation of a relaxed structure of YNpAl6, from the Alexandria database.

The calculation puts the calculated volume at 19.338 Å³/atom.

The structure belongs to space group P-6m2 (No. 187); the cell edges are 6.1753, 6.1753 and 4.6835 Å and the angles 90.00°, 90.00° and 120.00°. The distinct sites, in fractional coordinates, are Y at (0.0000, 0.0000, 0.0000), Np at (0.3333, 0.6667, 0.5000), Al at (0.3646, 0.1823, 0.5000) and Al at (0.5131, 0.0262, 0.0000).

[11]
The following is a PBE calculation of a relaxed structure of Np2Al5Zn3, from the Alexandria database.

The calculation puts the calculated volume at 18.867 Å³/atom.

The structure belongs to space group P-4m2 (No. 115); the cell edges are 4.1432, 4.1432 and 10.9909 Å and the angles 90.00°, 90.00° and 90.00°. The distinct sites, in fractional coordinates, are Np at (0.0000, 0.5000, 0.2452), Al at (0.0000, 0.0000, 0.0000), Al at (0.0000, 0.0000, 0.5000), Al at (0.0000, 0.5000, 0.8515), Al at (0.5000, 0.5000, 0.0000), Zn at (0.0000, 0.5000, 0.6325) and Zn at (0.5000, 0.5000, 0.5000).

[12]
The following is a PBE calculation of a relaxed structure of Np2Al12Zn7, from the Alexandria database.

The calculation puts the calculated volume at 17.645 Å³/atom.

The structure belongs to space group P-3 (No. 147); the cell edges are 10.2558, 10.2558 and 4.0680 Å and the angles 90.00°, 90.00° and 120.00°. The distinct sites, in fractional coordinates, are Np at (0.3333, 0.6667, 0.2509), Al at (0.0470, 0.4320, 0.7506), Al at (0.1133, 0.2633, 0.2375), Zn at (0.0000, 0.0000, 0.5000) and Zn at (0.1284, 0.7094, 0.7449).

no.,raw total energy (eV per formula unit)
1,-34.18
2,-33.34
3,-34.43
4,-51.39
5,-36.71
6,-25.74
7,-28.25
8,-34.63
9,-25.59
10,-44.04
11,-48.81
12,-79.35